[1]
## KTbBeTe3 (PBE-GGA)

Data for KTbBeTe3 after structural relaxation.

Values from the calculation:
Final energy: -4.161 eV/atom

Geometry as POSCAR:
```
KTbBeTe3
1.0
2.1416 -7.9756 0.0000
2.1416 7.9756 0.0000
0.0000 0.0000 11.6777
K Tb Be Te
2 2 2 6
Direct
0.2459 0.7541 0.7500 K
0.7541 0.2459 0.2500 K
0.5000 0.5000 0.0000 Tb
0.5000 0.5000 0.5000 Tb
0.0358 0.9642 0.2500 Be
0.9642 0.0358 0.7500 Be
0.1258 0.8742 0.0772 Te
0.1258 0.8742 0.4228 Te
0.4388 0.5612 0.2500 Te
0.5612 0.4388 0.7500 Te
0.8742 0.1258 0.5772 Te
0.8742 0.1258 0.9228 Te
```

[2]
## KBeTc (PBE-GGA)

Data for KBeTc after structural relaxation.

Values from the calculation:
ΔE to the lowest computed polymorph: 128.0 meV per atom

Geometry as POSCAR:
```
KBeTc
1.0
0.0000 3.2186 3.2186
3.2186 0.0000 3.2186
3.2186 3.2186 0.0000
K Be Tc
1 1 1
Direct
0.0000 0.0000 0.0000 K
0.5000 0.5000 0.5000 Be
0.7500 0.7500 0.7500 Tc
```

[3]
## KBeTc (PBE-GGA)

Data for KBeTc after structural relaxation.

Values from the calculation:
ΔE to the lowest computed polymorph: 0.0 meV per atom

Geometry as POSCAR:
```
KBeTc
1.0
0.0000 3.2049 3.2049
3.2049 0.0000 3.2049
3.2049 3.2049 0.0000
K Be Tc
1 1 1
Direct
0.0000 0.0000 0.0000 K
0.2500 0.2500 0.2500 Be
0.5000 0.5000 0.5000 Tc
```